Entry 1:
Density functional theory data (PBE) for an optimized crystal structure of NaSn2As2.

Output
ΔE_f = -0.030 eV/atom
Space group = C2/m

abc: 6.1258 8.4285 7.6253
angles: 120.36 109.67 96.76
With the nearest neighbours (Å) after each atom.
Element x y z (fractional)
As: 0.3702 0.3702 0.2405  3 Sn 2.68-2.85
Sn: 0.1406 0.1406 0.7812  3 As 2.68-2.76
As: 0.8407 0.2227 0.5000  3 Sn 2.74-2.76
Na: 0.8364 0.3364 0.1728  4 As 3.09
Na: 0.1636 0.6636 0.8272  4 As 3.09
As: 0.1593 0.7773 0.5000  3 Sn 2.74-2.76
Sn: 0.8594 0.8594 0.2188  3 As 2.68-2.76
Sn: 0.3929 0.2156 0.5000  3 As 2.74-2.85
As: 0.6298 0.6298 0.7595  3 Sn 2.68-2.85
Sn: 0.6071 0.7844 0.5000  3 As 2.74-2.85

=====

Entry 2:
Density functional theory data (PBE) for an optimized crystal structure of ReHg2W.

Output
ΔE_f = 0.935 eV/atom
Space group = Immm

abc: 5.6365 5.6365 5.6365
angles: 147.18 131.45 59.85
With the nearest neighbours (Å) after each atom.
Element x y z (fractional)
Re: 0.2500 0.7500 0.5000  4 W 2.81, 4 Hg 2.90
W: 0.7500 0.2500 0.5000  4 Re 2.81, 4 Hg 2.93
Hg: 0.0023 0.0023 0.0000  4 Hg 2.81, 2 Re 2.90, 2 W 2.93
Hg: 0.4977 0.4977 0.0000  4 Hg 2.81, 2 Re 2.90, 2 W 2.93

=====

Entry 3:
Density functional theory data (PBE) for an optimized crystal structure of Ba4Sr6Ac.

Output
ΔE_f = 0.136 eV/atom
Space group = Amm2

abc: 4.1481 13.4337 13.4252
angles: 120.01 90.00 90.00
With the nearest neighbours (Å) after each atom.
Element x y z (fractional)
Sr: 0.0000 0.5106 0.0212  5 Ba 4.12-4.33, 6 Sr 4.15-4.45
Ac: 0.0000 0.9999 0.9998  2 Ac 4.15, 6 Ba 4.33, 6 Sr 4.54
Ba: 0.5000 0.8367 0.1635  6 Sr 3.92-4.33, 2 Ba 4.15, 2 Ac 4.33
Ba: 0.0000 0.3336 0.6670  9 Sr 4.12-4.26, 2 Ba 4.15
Ba: 0.5000 0.3266 0.1633  6 Sr 3.92-4.33, 2 Ba 4.15, 2 Ac 4.33
Sr: 0.0000 0.5102 0.4896  5 Ba 4.12-4.33, 6 Sr 4.15-4.45
Sr: 0.0000 0.9796 0.4897  5 Ba 4.12-4.33, 6 Sr 4.15-4.44
Sr: 0.5000 0.1733 0.8265  4 Ba 3.92-4.26, 2 Sr 4.15
Ba: 0.5000 0.8363 0.6727  6 Sr 3.93-4.33, 2 Ba 4.15, 2 Ac 4.33
Sr: 0.5000 0.6532 0.8265  4 Ba 3.92-4.26, 2 Sr 4.15
Sr: 0.5000 0.1734 0.3469  4 Ba 3.92-4.26, 2 Sr 4.15

=====

Entry 4:
Density functional theory data (PBE) for an optimized crystal structure of KBa2Tl2.

Output
ΔE_f = -0.257 eV/atom
Space group = P4/mbm

abc: 10.0580 10.0580 4.3782
angles: 90.00 90.00 90.00
With the nearest neighbours (Å) after each atom.
Element x y z (fractional)
Tl: 0.3701 0.8701 0.0000  6 Ba 3.68, 1 Tl 3.70, 2 K 3.94
Ba: 0.3382 0.1618 0.5000  6 Tl 3.68
Tl: 0.6299 0.1299 0.0000  6 Ba 3.68, 1 Tl 3.70, 2 K 3.94
Tl: 0.1299 0.3701 0.0000  6 Ba 3.68, 1 Tl 3.70, 2 K 3.94
K: 0.5000 0.5000 0.0000  4 Tl 3.94, 8 Ba 4.36, 2 K 4.38
Ba: 0.6618 0.8382 0.5000  6 Tl 3.68
K: 0.0000 0.0000 0.0000  4 Tl 3.94, 8 Ba 4.36, 2 K 4.38
Ba: 0.8382 0.3382 0.5000  6 Tl 3.68
Tl: 0.8701 0.6299 0.0000  6 Ba 3.68, 1 Tl 3.70, 2 K 3.94
Ba: 0.1618 0.6618 0.5000  6 Tl 3.68

=====

Entry 5:
Density functional theory data (PBE) for an optimized crystal structure of KTbScTe3.

Output
Formation energy from raw total energies = -1.212 eV/atom
Space group = P2_1/m

abc: 4.5777 9.6336 10.6582
angles: 106.93 90.00 90.00
With the nearest neighbours (Å) after each atom.
Element x y z (fractional)
Tb: 0.2500 0.6614 0.1355  6 Te 3.06-3.29
Te: 0.7500 0.8859 0.1258  1 Sc 2.78
K: 0.2500 0.2015 0.2288  5 Te 3.56-3.71
Te: 0.7500 0.2226 0.5425  3 Sc 2.83-2.92
Te: 0.7500 0.4553 0.1638  3 Tb 3.06-3.10
Te: 0.2500 0.1141 0.8742  1 Sc 2.78
Te: 0.2500 0.5447 0.8362  3 Tb 3.06-3.10
Tb: 0.7500 0.3386 0.8645  6 Te 3.06-3.29
Te: 0.2500 0.7774 0.4575  3 Sc 2.83-2.92
K: 0.7500 0.7985 0.7712  5 Te 3.56-3.71
Sc: 0.2500 0.0845 0.6069  4 Te 2.78-2.92
Sc: 0.7500 0.9155 0.3931  4 Te 2.78-2.92

=====

Entry 6:
Density functional theory data (PBE) for an optimized crystal structure of NpSiAg.

Output
Formation energy from raw total energies = 0.044 eV/atom
Space group = C2/m

abc: 4.5612 3.5428 9.9373
angles: 68.89 90.00 130.07
With the nearest neighbours (Å) after each atom.
Element x y z (fractional)
Ag: 0.8153 0.6307 0.4086  4 Si 2.64-2.90, 2 Ag 2.79
Si: 0.5051 0.0102 0.7394  4 Ag 2.64-2.90, 3 Np 2.79-2.91
Np: 0.8443 0.6886 0.9461  3 Np 2.39-2.52
Si: 0.4949 0.9898 0.2606  4 Ag 2.64-2.90, 3 Np 2.79-2.91
Np: 0.1557 0.3114 0.0539  3 Np 2.39-2.52
Ag: 0.1847 0.3693 0.5914  4 Si 2.64-2.90, 2 Ag 2.79

=====

Entry 7:
Density functional theory data (PBE) for an optimized crystal structure of Mn3CrNi12.

Output
ΔE_f = -0.079 eV/atom
Space group = P4/mmm

abc: 3.5491 3.5491 14.2427
angles: 90.00 90.00 90.00
With the nearest neighbours (Å) after each atom.
Element x y z (fractional)
Ni: 0.5000 0.0000 0.1222  2 Cr 2.49, 8 Ni 2.49-2.52, 2 Mn 2.54
Mn: 0.0000 0.0000 0.7504  12 Ni 2.51-2.54
Ni: 0.5000 0.0000 0.6257  8 Ni 2.51-2.53, 4 Mn 2.51-2.52
Ni: 0.0000 0.5000 0.1222  2 Cr 2.49, 8 Ni 2.49-2.52, 2 Mn 2.54
Ni: 0.5000 0.0000 0.3743  8 Ni 2.51-2.53, 4 Mn 2.51-2.52
Ni: 0.5000 0.0000 0.8778  2 Cr 2.49, 8 Ni 2.49-2.52, 2 Mn 2.54
Cr: 0.0000 0.0000 0.0000  12 Ni 2.49-2.51
Ni: 0.5000 0.5000 0.2481  4 Mn 2.51, 8 Ni 2.52-2.53
Ni: 0.0000 0.5000 0.6257  8 Ni 2.51-2.53, 4 Mn 2.51-2.52
Mn: 0.0000 0.0000 0.2496  12 Ni 2.51-2.54
Mn: 0.0000 0.0000 0.5000  12 Ni 2.51-2.52
Ni: 0.0000 0.5000 0.8778  2 Cr 2.49, 8 Ni 2.49-2.52, 2 Mn 2.54
Ni: 0.5000 0.5000 0.7519  4 Mn 2.51, 8 Ni 2.52-2.53
Ni: 0.5000 0.5000 0.0000  8 Ni 2.49, 4 Cr 2.51
Ni: 0.5000 0.5000 0.5000  4 Mn 2.51, 8 Ni 2.52
Ni: 0.0000 0.5000 0.3743  8 Ni 2.51-2.53, 4 Mn 2.51-2.52

=====

Entry 8:
Density functional theory data (PBE) for an optimized crystal structure of GeBRu2Cl.

Output
Formation energy from raw total energies = 1.433 eV/atom
Space group = P4/mmm

abc: 4.7982 3.8122 4.7982
angles: 90.00 90.00 90.00
With the nearest neighbours (Å) after each atom.
Element x y z (fractional)
B: 0.0000 0.5000 0.0000  2 Ge 1.91
Ru: 0.0000 0.0000 0.5000  2 Ge 2.40
Ru: 0.5000 0.0000 0.0000  2 Ge 2.40
Cl: 0.5000 0.5000 0.5000  8 Ru 3.06, 4 B 3.39
Ge: 0.0000 0.0000 0.0000  2 B 1.91